## Al5Os (PBE)

Data for an optimized crystal structure of Al5Os.

Unit cell a=9.884 b=3.044 c=6.324 alpha=90.00 beta=105.67 gamma=90.00
Space group Cm (No. 8)
Asymmetric unit:
Al  0.000  0.000  0.000
Al  0.042  0.000  0.610
Al  0.153  0.500  0.334
Al  0.318  0.000  0.680
Al  0.366  0.000  0.257
Os  0.213  0.500  0.946

Calculated values
D(E_F) (states/eV/atom): 0.364
ΔE_f (meV/atom): -161
Total magnetization (μB/cell): 0.0
Final energy (Ha/atom): -0.18932

=====

## CaLaIn2O (PBE)

Data for an optimized crystal structure of CaLaIn2O.

Unit cell a=5.587 b=5.587 c=6.075 alpha=90.00 beta=90.00 gamma=90.00
Space group P4/mmm (No. 123)
Asymmetric unit:
Ca  0.000  0.000  0.000
La  0.000  0.000  0.500
In  0.000  0.500  0.000
O  0.500  0.500  0.500

Calculated values
Energy relative to the elements, uncorrected (meV/atom): 953
D(E_F) (states/eV/atom): 1.556
Total magnetization (μB/cell): 0.0
Final energy (Ha/atom): -0.09261

=====

## CuPbI2N (PBE)

Data for an optimized crystal structure of CuPbI2N.

Unit cell a=5.775 b=5.775 c=3.770 alpha=90.00 beta=90.00 gamma=90.00
Space group P4/mmm (No. 123)
Asymmetric unit:
Cu  0.000  0.000  0.000
Pb  0.500  0.500  0.500
I  0.000  0.500  0.000
N  0.000  0.000  0.500

Calculated values
Energy relative to the elements, uncorrected (meV/atom): 490
D(E_F) (states/eV/atom): 0.492
Total magnetization (μB/cell): 1.9
Final energy (Ha/atom): -0.12332
Polymorph energy (0 for the lowest one) (meV/atom): 0

=====

## CeZrZn4 (PBE)

Data for an optimized crystal structure of CeZrZn4.

Unit cell a=7.600 b=7.600 c=7.600 alpha=90.00 beta=90.00 gamma=90.00
Space group F-43m (No. 216)
Asymmetric unit:
Ce  0.000  0.000  0.000
Zr  0.250  0.250  0.250
Zn  0.124  0.124  0.624

Calculated values
D(E_F) (states/eV/atom): 0.918
ΔE_f (meV/atom): -250
Total magnetization (μB/cell): 5.2
Final energy (Ha/atom): -0.12910
Polymorph energy (0 for the lowest one) (meV/atom): 0

=====

## AcEuErLu (PBE)

Data for an optimized crystal structure of AcEuErLu.

Unit cell a=8.318 b=8.318 c=8.318 alpha=90.00 beta=90.00 gamma=90.00
Space group F-43m (No. 216)
Asymmetric unit:
Ac  0.000  0.000  0.000
Eu  0.250  0.250  0.250
Er  0.250  0.250  0.750
Lu  0.000  0.000  0.500

Calculated values
D(E_F) (states/eV/atom): 1.287
ΔE_f (meV/atom): 159
Total magnetization (μB/cell): 31.1
Final energy (Ha/atom): -0.20977

=====

## CsTeN2 (PBE)

Data for an optimized crystal structure of CsTeN2.

Unit cell a=3.4257 b=3.4257 c=23.9826 alpha=90.00 beta=90.00 gamma=120.00
Space group R-3m (No. 166, hexagonal axes)
Asymmetric unit:
Cs  0.0000  0.0000  0.0000
Te  0.0000  0.0000  0.5000
N  0.0000  0.0000  0.1205

Calculated values
Energy relative to the elements, uncorrected (meV/atom): 1029
D(E_F) (states/eV/atom): 0.637
Total magnetization (μB/cell): 0.0
Final energy (Ha/atom): -0.15187

=====

## BaIn3Sn3 (PBE)

Data for an optimized crystal structure of BaIn3Sn3.

Unit cell a=8.2182 b=8.2182 c=24.9594 alpha=90.00 beta=90.00 gamma=120.00
Space group R-3 (No. 148, hexagonal axes)
Asymmetric unit:
Ba  0.0000  0.0000  0.1677
In  0.0068  0.3629  0.3734
Sn  0.0041  0.3026  0.5825

Calculated values
D(E_F) (states/eV/atom): 0.292
ΔE_f (meV/atom): -149
Total magnetization (μB/cell): 0.0
Final energy (Ha/atom): -0.12173
Polymorph energy (0 for the lowest one) (meV/atom): 0

=====

## La2Cu3Ni (PBE)

Data for an optimized crystal structure of La2Cu3Ni.

Unit cell a=3.893 b=4.280 c=7.393 alpha=90.00 beta=90.00 gamma=90.00
Space group Pmm2 (No. 25)
Asymmetric unit:
La  0.000  0.000  0.000
La  0.000  0.500  0.481
Cu  0.500  0.000  0.654
Cu  0.500  0.500  0.157
Cu  0.500  0.500  0.823
Ni  0.500  0.000  0.321

Calculated values
D(E_F) (states/eV/atom): 0.850
ΔE_f (meV/atom): -249
Total magnetization (μB/cell): 0.0
Final energy (Ha/atom): -0.18020

=====

## TcAu2Br (PBE)

Data for an optimized crystal structure of TcAu2Br.

Unit cell a=3.949 b=3.949 c=5.076 alpha=90.00 beta=90.00 gamma=90.00
Space group P4/mmm (No. 123)
Asymmetric unit:
Tc  0.000  0.000  0.000
Au  0.000  0.500  0.500
Br  0.500  0.500  0.000

Calculated values
Energy relative to the elements, uncorrected (meV/atom): 791
D(E_F) (states/eV/atom): 0.786
Total magnetization (μB/cell): 3.3
Final energy (Ha/atom): -0.14175
Polymorph energy (0 for the lowest one) (meV/atom): 448

=====

## BaNaMg2Rh (PBE)

Data for an optimized crystal structure of BaNaMg2Rh.

Unit cell a=5.117 b=5.117 c=5.561 alpha=90.00 beta=90.00 gamma=90.00
Space group P4/mmm (No. 123)
Asymmetric unit:
Ba  0.000  0.000  0.000
Na  0.500  0.500  0.000
Mg  0.000  0.500  0.500
Rh  0.500  0.500  0.500

Calculated values
D(E_F) (states/eV/atom): 0.441
ΔE_f (meV/atom): -87
Total magnetization (μB/cell): 0.0
Final energy (Ha/atom): -0.10450
Polymorph energy (0 for the lowest one) (meV/atom): 0

=====

## Mg2AgS2 (PBE)

Data for an optimized crystal structure of Mg2AgS2.

Unit cell a=4.413 b=4.413 c=11.511 alpha=90.00 beta=90.00 gamma=90.00
Space group I4/mmm (No. 139)
Asymmetric unit:
Mg  0.000  0.500  0.250
Ag  0.000  0.000  0.000
S  0.000  0.000  0.351

Calculated values
Energy relative to the elements, uncorrected (meV/atom): -589
D(E_F) (states/eV/atom): 0.835
Total magnetization (μB/cell): 0.0
Final energy (Ha/atom): -0.12670

=====

## Tb2Nd2Ho2Er (PBE)

Data for an optimized crystal structure of Tb2Nd2Ho2Er.

Unit cell a=11.732 b=3.520 c=11.825 alpha=90.00 beta=109.12 gamma=90.00
Space group C2/m (No. 12)
Asymmetric unit:
Tb  0.227  0.000  0.364
Nd  0.172  0.500  0.086
Ho  0.050  0.500  0.769
Er  0.000  0.000  0.500

Calculated values
D(E_F) (states/eV/atom): 1.639
ΔE_f (meV/atom): 85
Total magnetization (μB/cell): 0.0
Final energy (Ha/atom): -0.16757

=====

- final energy of number 6 (CsTeN2)?
  -0.15187 Ha/atom